Entry 1:
The following is a DFT calculation (PBE) of a relaxed TaReW crystal.

a = 5.327 Å, b = 5.327 Å, c = 5.327 Å
α = 145.18°, β = 145.18°, γ = 50.07°
Positions (direct):
Re  0.002  0.002  0.000
Ta  0.334  0.334  0.000
W  0.664  0.664  0.000

Values from the calculation:
- Symmetry: I4mm
- Energy relative to the elements: -0.181 eV/atom

Entry 2:
The following is a DFT calculation (PBE) of a relaxed NbBi2Pt crystal.

a = 4.996 Å, b = 4.996 Å, c = 4.996 Å
α = 60.00°, β = 60.00°, γ = 60.00°
Positions (direct):
Nb  0.000  0.000  0.000
Bi  0.250  0.250  0.250
Bi  0.750  0.750  0.750
Pt  0.500  0.500  0.500

Values from the calculation:
- Symmetry: Fm-3m
- Energy relative to the elements: 0.288 eV/atom

Entry 3:
The following is a DFT calculation (PBE) of a relaxed BaOsO2 crystal.

a = 4.839 Å, b = 4.839 Å, c = 6.976 Å
α = 69.70°, β = 69.70°, γ = 90.00°
Positions (direct):
Os  0.000  0.000  0.000
Os  0.750  0.250  0.500
Ba  0.500  0.500  0.000
Ba  0.250  0.750  0.500
O  0.778  0.125  0.250
O  0.972  0.625  0.250
O  0.375  0.222  0.750
O  0.875  0.028  0.750

Values from the calculation:
- ΔE_f (raw): -0.906 eV per atom
- Symmetry: I-42d

Entry 4:
The following is a DFT calculation (PBE) of a relaxed Sr2CaAcSe4 crystal.

a = 4.398 Å, b = 7.639 Å, c = 7.611 Å
α = 70.59°, β = 90.00°, γ = 90.00°
Positions (direct):
Sr  0.000  0.000  0.000
Sr  0.500  0.000  0.500
Ca  0.500  0.500  0.000
Ac  0.000  0.500  0.500
Se  0.000  0.741  0.759
Se  0.000  0.259  0.241
Se  0.500  0.748  0.243
Se  0.500  0.252  0.757

Values from the calculation:
- ΔE_f (raw): -1.977 eV per atom
- Symmetry: P2/m

Entry 5:
The following is a DFT calculation (PBE) of a relaxed Li3DyAl3 crystal.

a = 6.701 Å, b = 6.701 Å, c = 6.701 Å
α = 90.00°, β = 90.00°, γ = 90.00°
Positions (direct):
Li  0.250  0.000  0.500
Li  0.000  0.500  0.250
Li  0.500  0.750  0.000
Li  0.750  0.000  0.500
Li  0.000  0.500  0.750
Li  0.500  0.250  0.000
Al  0.000  0.250  0.500
Al  0.000  0.750  0.500
Al  0.500  0.000  0.750
Al  0.750  0.500  0.000
Al  0.500  0.000  0.250
Al  0.250  0.500  0.000
Dy  0.500  0.500  0.500
Dy  0.000  0.000  0.000

Values from the calculation:
- Symmetry: Pm-3n
- Energy relative to the elements: 0.461 eV/atom

Entry 6:
The following is a DFT calculation (PBE) of a relaxed Rb2BaSr2 crystal.

a = 12.204 Å, b = 12.204 Å, c = 4.684 Å
α = 90.00°, β = 90.00°, γ = 90.00°
Positions (direct):
Sr  0.376  0.876  0.000
Sr  0.876  0.624  0.000
Sr  0.624  0.124  0.000
Sr  0.124  0.376  0.000
Ba  0.000  0.000  0.000
Ba  0.500  0.500  0.000
Rb  0.173  0.673  0.500
Rb  0.673  0.827  0.500
Rb  0.827  0.327  0.500
Rb  0.327  0.173  0.500

Values from the calculation:
- Symmetry: P4/mbm
- Energy relative to the elements: 0.234 eV/atom

Entry 7:
The following is a DFT calculation (PBE) of a relaxed LiAgOF crystal.

a = 2.925 Å, b = 2.781 Å, c = 6.177 Å
α = 90.00°, β = 90.00°, γ = 90.00°
Positions (direct):
Li  0.000  0.000  0.885
Ag  0.500  0.500  0.404
O  0.500  0.500  0.732
F  0.000  0.500  0.114

Values from the calculation:
- ΔE_f (raw): -1.079 eV per atom
- Symmetry: Pmm2

Entry 8:
The following is a DFT calculation (PBE) of a relaxed Zn4ReP crystal.

a = 4.949 Å, b = 4.949 Å, c = 4.949 Å
α = 60.00°, β = 60.00°, γ = 60.00°
Positions (direct):
Zn  0.878  0.374  0.374
Zn  0.374  0.374  0.878
Zn  0.374  0.878  0.374
Zn  0.374  0.374  0.374
Re  0.000  0.000  0.000
P  0.750  0.750  0.750

Values from the calculation:
- Symmetry: F-43m
- Energy relative to the elements: 0.425 eV/atom